Entry 1:
# AsIrRu2, optimized geometry, DFT PBE
# * DFT formation energy: 0.1366 eV/atom
# * volume: 14.47 Å³/atom
# * magnetic moment: 0.0 Bohr magnetons per cell
# * total DFT energy (no corrections): -0.5791 Ry per atom
data_AsIrRu2
_chemical_formula_sum 'As2 Ir2 Ru4'
_cell_length_a 2.926
_cell_length_b 4.391
_cell_length_c 9.006
_cell_angle_alpha 90.00
_cell_angle_beta 90.00
_cell_angle_gamma 90.00
_space_group_name_H-M_alt 'I m m 2'
_space_group_IT_number 44
loop_
_space_group_symop_operation_xyz
'x,y,z'
'-x,-y,z'
'-x,y,z'
'x,-y,z'
'x+1/2,y+1/2,z+1/2'
'-x+1/2,-y+1/2,z+1/2'
'-x+1/2,y+1/2,z+1/2'
'x+1/2,-y+1/2,z+1/2'
loop_
_atom_site_label
_atom_site_type_symbol
_atom_site_fract_x
_atom_site_fract_y
_atom_site_fract_z
_atom_site_occupancy
As1 As 0.000 0.000 0.000 1
Ir1 Ir 0.000 0.500 0.722 1
Ru1 Ru 0.000 0.000 0.502 1
Ru2 Ru 0.000 0.500 0.282 1

***

Entry 2:
# AsIrRu2, optimized geometry, DFT PBE
# * DFT formation energy: 0.4353 eV/atom
# * volume: 14.91 Å³/atom
# * magnetic moment: 0.0 Bohr magnetons per cell
# * total DFT energy (no corrections): -0.5571 Ry per atom
data_AsIrRu2
_chemical_formula_sum 'As2 Ir2 Ru4'
_cell_length_a 2.832
_cell_length_b 4.878
_cell_length_c 8.631
_cell_angle_alpha 90.00
_cell_angle_beta 90.00
_cell_angle_gamma 90.00
_space_group_name_H-M_alt 'C m m m'
_space_group_IT_number 65
_space_group_name_Hall '-C 2 2'
loop_
_atom_site_label
_atom_site_type_symbol
_atom_site_fract_x
_atom_site_fract_y
_atom_site_fract_z
_atom_site_occupancy
As1 As 0.000 0.000 0.000 1
Ir1 Ir 0.000 0.000 0.500 1
Ru1 Ru 0.000 0.500 0.234 1

***

Entry 3:
# AsIrRu2, optimized geometry, DFT PBE
# * DFT formation energy: 0.1458 eV/atom
# * volume: 14.46 Å³/atom
# * magnetic moment: 0.0 Bohr magnetons per cell
# * total DFT energy (no corrections): -0.5784 Ry per atom
data_AsIrRu2
_chemical_formula_sum 'As2 Ir2 Ru4'
_cell_length_a 2.935
_cell_length_b 4.427
_cell_length_c 8.904
_cell_angle_alpha 90.00
_cell_angle_beta 90.00
_cell_angle_gamma 90.00
_space_group_name_H-M_alt 'I m m m'
_space_group_IT_number 71
_space_group_name_Hall '-I 2 2'
loop_
_atom_site_label
_atom_site_type_symbol
_atom_site_fract_x
_atom_site_fract_y
_atom_site_fract_z
_atom_site_occupancy
As1 As 0.000 0.000 0.000 1
Ir1 Ir 0.000 0.000 0.500 1
Ru1 Ru 0.000 0.500 0.283 1

***

Entry 4:
# As4IrRu, optimized geometry, DFT PBE
# * DFT formation energy: -0.1712 eV/atom
# * volume: 18.11 Å³/atom
# * E above lowest polymorph: 0.0 meV/atom
# * magnetic moment: 0.0 Bohr magnetons per cell
# * total DFT energy (no corrections): -0.4626 Ry per atom
data_As4IrRu
_chemical_formula_sum 'As8 Ir2 Ru2'
_cell_length_a 6.022
_cell_length_b 6.011
_cell_length_c 6.004
_cell_angle_alpha 90.00
_cell_angle_beta 90.27
_cell_angle_gamma 90.00
_space_group_name_H-M_alt 'P 1 21/c 1'
_space_group_IT_number 14
loop_
_space_group_symop_operation_xyz
'x,y,z'
'-x,-y,-z'
'-x,y+1/2,-z+1/2'
'x,-y+1/2,z+1/2'
loop_
_atom_site_label
_atom_site_type_symbol
_atom_site_fract_x
_atom_site_fract_y
_atom_site_fract_z
_atom_site_occupancy
As1 As 0.119 0.123 0.379 1
As2 As 0.378 0.618 0.381 1
Ir1 Ir 0.500 0.000 0.500 1
Ru1 Ru 0.000 0.000 0.000 1

***

Which formula does entry 1 have?
AsIrRu2

***

What is the total DFT energy (no corrections) in the first record?
-0.5791 Ry per atom

***

Which formula does entry 4 have?
As4IrRu

***

Which value of total DFT energy (no corrections) does entry 3 give?
-0.5784 Ry per atom